# 1
A PBEsol-optimized structure of Sr2NbInO6. Source: Alexandria via LeMat-Bulk, functional meta-GGA SCAN.

abc: 5.791 5.791 5.791
angles: 60.00 60.00 60.00
Element x y z (fractional)
1 Sr 0.750 0.750 0.750
2 Sr 0.250 0.250 0.250
3 Nb 0.000 0.000 0.000
4 O 0.242 0.758 0.242
5 O 0.242 0.242 0.758
6 O 0.758 0.758 0.242
7 O 0.242 0.758 0.758
8 O 0.758 0.242 0.758
9 O 0.758 0.242 0.242
10 In 0.500 0.500 0.500

Summary:
uncorrected formation energy: -2.792 eV/atom

---

# 2
A PBEsol-optimized structure of NbInTe2O8. Source: Alexandria via LeMat-Bulk, functional meta-GGA SCAN.

abc: 7.625 7.703 10.744
angles: 90.00 90.00 90.00
Element x y z (fractional)
1 Nb 0.476 0.480 0.998
2 Nb 0.524 0.980 0.002
3 Nb 0.024 0.980 0.998
4 Nb 0.976 0.480 0.002
5 In 0.504 0.475 0.512
6 In 0.496 0.975 0.488
7 In 0.996 0.975 0.512
8 In 0.004 0.475 0.488
9 Te 0.202 0.317 0.752
10 Te 0.798 0.817 0.248
11 Te 0.298 0.817 0.752
12 Te 0.702 0.317 0.248
13 Te 0.729 0.240 0.721
14 Te 0.271 0.740 0.279
15 Te 0.771 0.740 0.721
16 Te 0.229 0.240 0.279
17 O 0.422 0.390 0.830
18 O 0.578 0.890 0.170
19 O 0.078 0.890 0.830
20 O 0.922 0.390 0.170
21 O 0.474 0.717 0.950
22 O 0.526 0.217 0.050
23 O 0.026 0.217 0.950
24 O 0.974 0.717 0.050
25 O 0.244 0.465 0.056
26 O 0.756 0.965 0.944
27 O 0.256 0.965 0.056
28 O 0.744 0.465 0.944
29 O 0.077 0.508 0.825
30 O 0.923 0.008 0.175
31 O 0.423 0.008 0.825
32 O 0.577 0.508 0.175
33 O 0.251 0.456 0.604
34 O 0.749 0.956 0.396
35 O 0.249 0.956 0.604
36 O 0.751 0.456 0.396
37 O 0.949 0.282 0.634
38 O 0.051 0.782 0.366
39 O 0.551 0.782 0.634
40 O 0.449 0.282 0.366
41 O 0.683 0.490 0.666
42 O 0.317 0.990 0.334
43 O 0.817 0.990 0.666
44 O 0.183 0.490 0.334
45 O 0.563 0.206 0.588
46 O 0.437 0.706 0.412
47 O 0.937 0.706 0.588
48 O 0.063 0.206 0.412

Summary:
uncorrected formation energy: -1.751 eV/atom

---

# 3
A PBEsol-optimized structure of Nb2InOsPd. Source: Alexandria via LeMat-Bulk, functional meta-GGA SCAN.

abc: 4.569 4.895 4.895
angles: 90.00 90.00 90.00
Element x y z (fractional)
1 Nb 0.000 0.000 0.500
2 Nb 0.000 0.500 0.000
3 Os 0.500 0.500 0.500
4 Pd 0.500 0.000 0.000
5 In 0.000 0.000 0.000

Summary:
calculated formation energy: 2.1213 eV per atom

---

# 4
A PBEsol-optimized structure of Nb2InP. Source: Alexandria via LeMat-Bulk, functional meta-GGA SCAN.

abc: 4.570 4.570 4.570
angles: 60.00 60.00 60.00
Element x y z (fractional)
1 P 0.000 0.000 0.000
2 Nb 0.250 0.250 0.250
3 Nb 0.750 0.750 0.750
4 In 0.500 0.500 0.500

Summary:
calculated formation energy: 0.0902 eV per atom

---

# 5
A PBEsol-optimized structure of NbInP2S. Source: Alexandria via LeMat-Bulk, functional meta-GGA SCAN.

abc: 4.805 4.805 4.848
angles: 90.00 90.00 90.00
Element x y z (fractional)
1 P 0.000 0.500 0.000
2 P 0.500 0.000 0.000
3 Nb 0.500 0.500 0.500
4 S 0.000 0.000 0.500
5 In 0.000 0.000 0.000

Summary:
uncorrected formation energy: 1.197 eV/atom

---

# 6
A PBEsol-optimized structure of Nb3InPb. Source: Alexandria via LeMat-Bulk, functional meta-GGA SCAN.

abc: 4.992 4.992 4.992
angles: 90.00 90.00 90.00
Element x y z (fractional)
1 Pb 0.500 0.500 0.500
2 Nb 0.000 0.500 0.000
3 Nb 0.000 0.000 0.500
4 Nb 0.500 0.000 0.000
5 In 0.000 0.000 0.000

Summary:
distance to the lowest polymorph of the same formula: 0.0 meV per atom
calculated formation energy: 1.5851 eV per atom

---

Short version: Fermi-level density of states = 0.000, 0.000, 4.499, 3.778, 4.770, 4.115 states/eV per cell, in the order given.